Entry from OQMD via LeMat-Bulk: a geometry-optimized NpRe2 structure (PBE-GGA).

Values from the calculation:
ρ: 18.62 g cm⁻³
formation energy: 0.10 eV/atom

Unit cell a=5.578 b=5.578 c=8.067 alpha=90.00 beta=90.00 gamma=120.02
Last column: magnetic moment on the atom in μB.
Sites, in units of the cell vectors:
1 Np 0.333 0.667 0.076  3.08
2 Np 0.333 0.667 0.424  3.10
3 Np 0.667 0.333 0.576  3.10
4 Np 0.667 0.333 0.924  3.08
5 Re 0.000 0.000 0.000  -0.03
6 Re 0.342 0.171 0.250  -0.18
7 Re 0.829 0.171 0.250  -0.13
8 Re 0.829 0.658 0.250  -0.07
9 Re 0.000 0.000 0.500  -0.01
10 Re 0.171 0.342 0.750  -0.07
11 Re 0.171 0.829 0.750  -0.13
12 Re 0.658 0.829 0.750  -0.18